[1]
Computed, not measured: a relaxed structure of MnAgGe2Os at the GGA-PBE level of DFT. Values from VASP.

## Properties
raw total energy = -5.6287 eV per atom
energy relative to the elements = 0.8684 eV/atom
total magnetic moment = 0.00 μB per formula unit

The structure in Quantum ESPRESSO input format:
```
&SYSTEM
  ibrav = 0, nat = 5, ntyp = 4
/
ATOMIC_SPECIES
Mn 54.94 Mn.upf
Ag 107.87 Ag.upf
Ge 72.64 Ge.upf
Os 190.23 Os.upf
ATOMIC_POSITIONS angstrom
Mn 0.000 0.000 0.000
Ag 2.235 2.235 2.284
Ge 0.000 2.235 0.000
Ge 2.235 0.000 0.000
Os 0.000 0.000 2.284
CELL_PARAMETERS angstrom
4.471 0.000 0.000
0.000 4.471 0.000
0.000 0.000 4.567
```

***

[2]
Computed, not measured: a relaxed structure of MnAgGePd at the GGA-PBE level of DFT. Values from VASP.

## Properties
raw total energy = -5.4939 eV per atom
energy relative to the elements = -0.0362 eV/atom
total magnetic moment = 4.32 μB per formula unit

The structure in Quantum ESPRESSO input format:
```
&SYSTEM
  ibrav = 0, nat = 4, ntyp = 4
/
ATOMIC_SPECIES
Mn 54.94 Mn.upf
Ag 107.87 Ag.upf
Ge 72.64 Ge.upf
Pd 106.42 Pd.upf
ATOMIC_POSITIONS angstrom
Mn 0.000 0.000 0.000
Ag 1.590 1.590 1.590
Ge 3.181 3.181 3.181
Pd 4.771 4.771 4.771
CELL_PARAMETERS angstrom
0.000 3.181 3.181
3.181 0.000 3.181
3.181 3.181 0.000
```

***

[3]
Computed, not measured: a relaxed structure of PmMnAgGe at the GGA-PBE level of DFT. Values from VASP.

## Properties
raw total energy = -5.4769 eV per atom
energy relative to the elements = -0.1297 eV/atom
total magnetic moment = 4.08 μB per formula unit

The structure in Quantum ESPRESSO input format:
```
&SYSTEM
  ibrav = 0, nat = 4, ntyp = 4
/
ATOMIC_SPECIES
Pm 145.00 Pm.upf
Mn 54.94 Mn.upf
Ag 107.87 Ag.upf
Ge 72.64 Ge.upf
ATOMIC_POSITIONS angstrom
Pm 0.000 0.000 0.000
Mn 3.456 3.456 3.456
Ag 1.728 1.728 1.728
Ge 5.184 5.184 5.184
CELL_PARAMETERS angstrom
0.000 3.456 3.456
3.456 0.000 3.456
3.456 3.456 0.000
```

***

[4]
Computed, not measured: a relaxed structure of MnAgGePt at the GGA-PBE level of DFT. Values from VASP.

## Properties
raw total energy = -5.7380 eV per atom
energy relative to the elements = -0.0683 eV/atom
total magnetic moment = 4.39 μB per formula unit

The structure in Quantum ESPRESSO input format:
```
&SYSTEM
  ibrav = 0, nat = 4, ntyp = 4
/
ATOMIC_SPECIES
Mn 54.94 Mn.upf
Ag 107.87 Ag.upf
Ge 72.64 Ge.upf
Pt 195.08 Pt.upf
ATOMIC_POSITIONS angstrom
Mn 0.000 0.000 0.000
Ag 1.592 1.592 1.592
Ge 3.184 3.184 3.184
Pt 4.776 4.776 4.776
CELL_PARAMETERS angstrom
0.000 3.184 3.184
3.184 0.000 3.184
3.184 3.184 0.000
```

***

[5]
Computed, not measured: a relaxed structure of Sc2MnAgGe at the GGA-PBE level of DFT. Values from VASP.

## Properties
raw total energy = -5.4519 eV per atom
energy relative to the elements = 0.4083 eV/atom
total magnetic moment = 1.82 μB per formula unit

The structure in Quantum ESPRESSO input format:
```
&SYSTEM
  ibrav = 0, nat = 5, ntyp = 4
/
ATOMIC_SPECIES
Sc 44.96 Sc.upf
Mn 54.94 Mn.upf
Ag 107.87 Ag.upf
Ge 72.64 Ge.upf
ATOMIC_POSITIONS angstrom
Sc 0.000 2.352 0.000
Sc 2.352 0.000 0.000
Mn 0.000 0.000 0.000
Ag 0.000 0.000 2.419
Ge 2.352 2.352 2.419
CELL_PARAMETERS angstrom
4.705 0.000 0.000
0.000 4.705 0.000
0.000 0.000 4.837
```

***

[6]
Computed, not measured: a relaxed structure of MnAgGe2Se6 at the GGA-PBE level of DFT. Values from VASP.

## Properties
energy relative to the elements, uncorrected = -1.72 eV per formula unit
raw total energy = -4.3882 eV per atom
total magnetic moment = 4.03 μB per formula unit

The structure in Quantum ESPRESSO input format:
```
&SYSTEM
  ibrav = 0, nat = 20, ntyp = 4
/
ATOMIC_SPECIES
Mn 54.94 Mn.upf
Ag 107.87 Ag.upf
Ge 72.64 Ge.upf
Se 78.96 Se.upf
ATOMIC_POSITIONS angstrom
Mn 5.377 3.210 4.918
Mn 5.986 -3.210 1.639
Ag 5.986 1.157 1.639
Ag 5.377 -1.157 4.918
Ge 1.470 1.086 5.072
Ge 2.079 -1.086 1.793
Ge 9.284 1.086 4.764
Ge 9.893 -1.086 1.486
Se 1.520 1.053 0.709
Se 4.199 2.914 2.730
Se 0.910 -1.053 3.987
Se 3.856 1.135 5.557
Se 7.774 2.914 0.549
Se 4.466 -1.135 2.278
Se 6.897 1.135 4.280
Se 3.589 -2.914 6.009
Se 7.507 -1.135 1.001
Se 10.453 1.053 2.570
Se 7.164 -2.914 3.828
Se 9.843 -1.053 5.849
CELL_PARAMETERS angstrom
6.291 -5.969 0.000
6.291 5.969 0.000
-1.219 0.000 6.557
```

***

[7]
Computed, not measured: a relaxed structure of MnAg2GeTe4 at the GGA-PBE level of DFT. Values from VASP.

## Properties
energy relative to the elements, uncorrected = -0.66 eV per formula unit
raw total energy = -4.0890 eV per atom
total magnetic moment = 4.64 μB per formula unit
offset from the most stable computed form = 0.0051 eV/atom

The structure in Quantum ESPRESSO input format:
```
&SYSTEM
  ibrav = 0, nat = 8, ntyp = 4
/
ATOMIC_SPECIES
Mn 54.94 Mn.upf
Ag 107.87 Ag.upf
Ge 72.64 Ge.upf
Te 127.60 Te.upf
ATOMIC_POSITIONS angstrom
Mn 0.000 0.000 0.000
Ag 3.137 0.000 3.220
Ag 0.000 3.137 3.220
Ge 0.000 0.000 6.440
Te 1.582 1.582 -1.544
Te 1.555 -1.555 7.984
Te 1.555 1.555 4.896
Te -1.555 1.555 7.984
CELL_PARAMETERS angstrom
-3.137 3.137 6.440
3.137 -3.137 6.440
3.137 3.137 -6.440
```

***

[8]
Computed, not measured: a relaxed structure of Mn2AgGeTe4 at the GGA-PBE level of DFT. Values from VASP.

## Properties
energy relative to the elements, uncorrected = -0.69 eV per formula unit
raw total energy = -4.8831 eV per atom
total magnetic moment = 8.98 μB per formula unit

The structure in Quantum ESPRESSO input format:
```
&SYSTEM
  ibrav = 0, nat = 8, ntyp = 4
/
ATOMIC_SPECIES
Mn 54.94 Mn.upf
Ag 107.87 Ag.upf
Ge 72.64 Ge.upf
Te 127.60 Te.upf
ATOMIC_POSITIONS angstrom
Mn 3.197 0.000 3.122
Mn 0.000 3.197 3.122
Ag 0.000 0.000 0.000
Ge 0.000 0.000 6.244
Te 1.619 1.619 -1.637
Te 1.577 -1.577 7.881
Te 1.577 1.577 4.606
Te -1.577 1.577 7.881
CELL_PARAMETERS angstrom
-3.197 3.197 6.244
3.197 -3.197 6.244
3.197 3.197 -6.244
```

***

[9]
Computed, not measured: a relaxed structure of MnAg2GeTe4 at the GGA-PBE level of DFT. Values from VASP.

## Properties
energy relative to the elements, uncorrected = -0.70 eV per formula unit
raw total energy = -4.0940 eV per atom
total magnetic moment = 4.86 μB per formula unit
offset from the most stable computed form = 0.0000 eV/atom

The structure in Quantum ESPRESSO input format:
```
&SYSTEM
  ibrav = 0, nat = 16, ntyp = 4
/
ATOMIC_SPECIES
Mn 54.94 Mn.upf
Ag 107.87 Ag.upf
Ge 72.64 Ge.upf
Te 127.60 Te.upf
ATOMIC_POSITIONS angstrom
Mn 0.000 1.208 0.000
Mn 4.399 6.601 3.690
Ag 2.165 2.520 3.836
Ag 2.234 5.288 0.146
Ag 6.564 5.288 0.146
Ag 6.633 2.520 3.836
Ge 0.000 6.526 3.731
Ge 4.399 1.282 0.040
Te 0.000 1.158 2.717
Te 0.000 6.518 6.390
Te 2.170 5.196 2.923
Te 2.229 2.612 6.614
Te 4.399 1.290 2.700
Te 4.399 6.651 6.407
Te 6.569 2.612 6.614
Te 6.629 5.196 2.923
CELL_PARAMETERS angstrom
8.798 0.000 0.000
0.000 7.808 0.000
0.000 0.000 7.381
```

***

[10]
Computed, not measured: a relaxed structure of Mn2TlAgGe at the GGA-PBE level of DFT. Values from VASP.

## Properties
raw total energy = -4.8180 eV per atom
energy relative to the elements = 0.8168 eV/atom
total magnetic moment = 7.35 μB per formula unit

The structure in Quantum ESPRESSO input format:
```
&SYSTEM
  ibrav = 0, nat = 5, ntyp = 4
/
ATOMIC_SPECIES
Mn 54.94 Mn.upf
Tl 204.38 Tl.upf
Ag 107.87 Ag.upf
Ge 72.64 Ge.upf
ATOMIC_POSITIONS angstrom
Mn 0.000 2.269 0.000
Mn 2.269 0.000 0.000
Tl 0.000 0.000 2.567
Ag 2.269 2.269 2.567
Ge 0.000 0.000 0.000
CELL_PARAMETERS angstrom
4.538 0.000 0.000
0.000 4.538 0.000
0.000 0.000 5.135
```

***

[11]
Computed, not measured: a relaxed structure of AgGe2Mo at the GGA-PBE level of DFT. Values from VASP.

## Properties
raw total energy = -5.3138 eV per atom
energy relative to the elements = 0.4155 eV/atom
total magnetic moment = 0.59 μB per formula unit
offset from the most stable computed form = 0.0000 eV/atom

The structure in Quantum ESPRESSO input format:
```
&SYSTEM
  ibrav = 0, nat = 4, ntyp = 3
/
ATOMIC_SPECIES
Ag 107.87 Ag.upf
Ge 72.64 Ge.upf
Mo 95.94 Mo.upf
ATOMIC_POSITIONS angstrom
Ag 0.000 0.000 0.000
Ge 1.608 1.608 1.608
Ge 4.823 4.823 4.823
Mo 3.215 3.215 3.215
CELL_PARAMETERS angstrom
0.000 3.215 3.215
3.215 0.000 3.215
3.215 3.215 0.000
```

***

[12]
Computed, not measured: a relaxed structure of AgGeMo3 at the GGA-PBE level of DFT. Values from VASP.

## Properties
raw total energy = -6.5594 eV per atom
energy relative to the elements = 1.4330 eV/atom
total magnetic moment = 0.00 μB per formula unit
offset from the most stable computed form = 0.0000 eV/atom

The structure in Quantum ESPRESSO input format:
```
&SYSTEM
  ibrav = 0, nat = 5, ntyp = 3
/
ATOMIC_SPECIES
Ag 107.87 Ag.upf
Ge 72.64 Ge.upf
Mo 95.94 Mo.upf
ATOMIC_POSITIONS angstrom
Ag 0.000 0.000 0.000
Ge 2.310 2.310 2.310
Mo 0.000 2.310 2.310
Mo 2.310 0.000 2.310
Mo 2.310 2.310 0.000
CELL_PARAMETERS angstrom
4.620 0.000 0.000
0.000 4.620 0.000
0.000 0.000 4.620
```

***

[13]
Computed, not measured: a relaxed structure of AgGeMo3 at the GGA-PBE level of DFT. Values from VASP.

## Properties
raw total energy = -5.5647 eV per atom
energy relative to the elements = 2.4277 eV/atom
total magnetic moment = 1.13 μB per formula unit
offset from the most stable computed form = 0.9946 eV/atom

The structure in Quantum ESPRESSO input format:
```
&SYSTEM
  ibrav = 0, nat = 5, ntyp = 3
/
ATOMIC_SPECIES
Ag 107.87 Ag.upf
Ge 72.64 Ge.upf
Mo 95.94 Mo.upf
ATOMIC_POSITIONS angstrom
Ag 0.000 0.000 0.000
Ge 2.401 2.401 2.401
Mo 0.000 0.000 2.401
Mo 0.000 2.401 0.000
Mo 2.401 0.000 0.000
CELL_PARAMETERS angstrom
4.803 0.000 0.000
0.000 4.803 0.000
0.000 0.000 4.803
```

***

[14]
Computed, not measured: a relaxed structure of AgGeMo2 at the GGA-PBE level of DFT. Values from VASP.

## Properties
raw total energy = -6.6103 eV per atom
energy relative to the elements = 0.6724 eV/atom
total magnetic moment = 0.00 μB per formula unit

The structure in Quantum ESPRESSO input format:
```
&SYSTEM
  ibrav = 0, nat = 8, ntyp = 3
/
ATOMIC_SPECIES
Ag 107.87 Ag.upf
Ge 72.64 Ge.upf
Mo 95.94 Mo.upf
ATOMIC_POSITIONS angstrom
Ag 0.000 0.000 0.000
Ag 0.000 3.651 1.309
Ge 3.651 0.000 1.309
Ge 0.000 0.000 2.618
Mo 1.825 -1.582 1.963
Mo 2.068 1.825 0.654
Mo 1.825 5.233 -0.654
Mo 1.582 1.825 3.272
CELL_PARAMETERS angstrom
-3.651 3.651 2.618
3.651 -3.651 2.618
3.651 3.651 -2.618
```

***

[15]
Computed, not measured: a relaxed structure of AgGe3Mo at the GGA-PBE level of DFT. Values from VASP.

## Properties
raw total energy = -5.0391 eV per atom
energy relative to the elements = 0.4677 eV/atom
total magnetic moment = 0.00 μB per formula unit
offset from the most stable computed form = 0.0000 eV/atom

The structure in Quantum ESPRESSO input format:
```
&SYSTEM
  ibrav = 0, nat = 5, ntyp = 3
/
ATOMIC_SPECIES
Ag 107.87 Ag.upf
Ge 72.64 Ge.upf
Mo 95.94 Mo.upf
ATOMIC_POSITIONS angstrom
Ag 0.000 0.000 0.000
Ge 0.000 2.450 2.450
Ge 2.450 0.000 2.450
Ge 2.450 2.450 0.000
Mo 2.450 2.450 2.450
CELL_PARAMETERS angstrom
4.899 0.000 0.000
0.000 4.899 0.000
0.000 0.000 4.899
```

***

[16]
Computed, not measured: a relaxed structure of AgGe2Mo at the GGA-PBE level of DFT. Values from VASP.

## Properties
raw total energy = -5.1060 eV per atom
energy relative to the elements = 0.6233 eV/atom
total magnetic moment = 0.00 μB per formula unit
offset from the most stable computed form = 0.2078 eV/atom

The structure in Quantum ESPRESSO input format:
```
&SYSTEM
  ibrav = 0, nat = 8, ntyp = 3
/
ATOMIC_SPECIES
Ag 107.87 Ag.upf
Ge 72.64 Ge.upf
Mo 95.94 Mo.upf
ATOMIC_POSITIONS angstrom
Ag 0.000 0.000 0.000
Ag 0.000 3.534 1.464
Ge 1.767 1.829 -0.732
Ge 5.239 1.767 0.732
Ge 1.767 1.705 2.196
Ge -1.705 1.767 3.661
Mo 3.534 0.000 1.464
Mo 0.000 0.000 2.929
CELL_PARAMETERS angstrom
-3.534 3.534 2.929
3.534 -3.534 2.929
3.534 3.534 -2.929
```

***

[17]
Computed, not measured: a relaxed structure of NbAgGe2Mo at the GGA-PBE level of DFT. Values from VASP.

## Properties
raw total energy = -4.9219 eV per atom
energy relative to the elements = 1.6755 eV/atom
total magnetic moment = 1.56 μB per formula unit

The structure in Quantum ESPRESSO input format:
```
&SYSTEM
  ibrav = 0, nat = 5, ntyp = 4
/
ATOMIC_SPECIES
Nb 92.91 Nb.upf
Ag 107.87 Ag.upf
Ge 72.64 Ge.upf
Mo 95.94 Mo.upf
ATOMIC_POSITIONS angstrom
Nb 0.000 0.000 0.000
Ag 2.319 2.319 2.568
Ge 0.000 2.319 2.568
Ge 2.319 0.000 2.568
Mo 2.319 2.319 0.000
CELL_PARAMETERS angstrom
4.637 0.000 0.000
0.000 4.637 0.000
0.000 0.000 5.135
```